Entry 1:
A plane-wave DFT calculation with PBE was carried out for crystalline RbHf2SnAs at its relaxed geometry.

Cell and atoms, written as POSCAR:
```
RbHf2SnAs
1.0
-4.827 0.501 2.273
2.257 -2.132 5.264
1.224 4.997 1.499
As Hf Sn Rb
1 2 1 1
Cartesian
-0.673 1.683 4.518
0.612 2.498 0.749
-2.413 0.250 1.136
0.000 0.000 0.000
1.129 -1.066 2.632
```

Summary:
DOS at the Fermi energy	6.2	states/eV per cell
energy of formation from the pure elements	1.15	eV/atom
offset from the most stable computed form	88	meV/atom
density	6.0	g/cm³

---

Entry 2:
A plane-wave DFT calculation with PBE was carried out for crystalline BiAu4 at its relaxed geometry.

Cell and atoms, written as POSCAR:
```
BiAu4
1.0
5.327 0.000 0.000
0.000 5.327 0.000
0.000 0.000 5.327
Au Bi
4 1
Cartesian
0.000 0.000 0.000
2.664 0.000 2.664
0.000 2.664 2.664
2.664 2.664 0.000
2.664 2.664 2.664
```

Summary:
DOS at the Fermi energy	3.0	states/eV per cell
energy of formation from the pure elements	0.84	eV/atom
offset from the most stable computed form	802	meV/atom
density	11.0	g/cm³

---

Entry 3:
A plane-wave DFT calculation with PBE was carried out for crystalline Ce2Be4ZnPt3 at its relaxed geometry.

Cell and atoms, written as POSCAR:
```
Ce2Be4ZnPt3
1.0
-1.737 -1.476 -3.338
3.426 0.614 -2.055
3.017 -8.906 2.367
Ce Be Zn Pt
2 4 1 3
Cartesian
-0.122 -2.941 -1.083
3.984 -6.396 0.754
0.844 -0.431 -2.696
0.000 0.000 0.000
1.029 -6.340 -0.180
2.832 -2.997 -0.149
2.353 -4.884 -1.513
1.508 -4.453 1.184
1.774 -8.538 0.404
2.088 -0.799 -0.733
```

Summary:
DOS at the Fermi energy	12.7	states/eV per cell
energy of formation from the pure elements	-0.65	eV/atom
density	10.1	g/cm³

---

Entry 4:
A plane-wave DFT calculation with PBE was carried out for crystalline YSi at its relaxed geometry.

Cell and atoms, written as POSCAR:
```
YSi
1.0
-0.356 4.711 -1.476
-1.288 1.042 -4.665
-4.441 1.964 -0.962
Si Y
2 2
Cartesian
0.000 0.000 0.000
-1.521 1.929 -1.776
-3.042 3.858 -3.551
-4.563 5.787 -5.327
```

Summary:
DOS at the Fermi energy	2.0	states/eV per cell
total DFT energy (no corrections)	-11.62	eV per formula unit
density	4.5	g/cm³